A plane-wave DFT calculation with GGA-PBE was carried out for crystalline NdDy6Al2 at its relaxed geometry.

Geometry as POSCAR:
```
NdDy6Al2
1.0
6.2707 -1.8510 0.0000
6.2707 1.8510 0.0000
-3.7358 0.0000 11.1620
Nd Dy Al
1 6 2
Direct
0.0000 0.0000 0.0000 Nd
0.0191 0.0191 0.3324 Dy
0.3098 0.3098 0.1260 Dy
0.3106 0.3106 0.4146 Dy
0.6894 0.6894 0.5854 Dy
0.6902 0.6902 0.8740 Dy
0.9809 0.9809 0.6676 Dy
0.3497 0.3497 0.7864 Al
0.6503 0.6503 0.2136 Al
```

Summary:
electronic total energy: -4.588 eV/atom
distance to the lowest polymorph of the same formula: 0.00 eV per formula unit
volume: 259.1 Å³ per cell
crystal system: monoclinic

---

A plane-wave DFT calculation with GGA-PBE was carried out for crystalline Nd3DyAl at its relaxed geometry.

Geometry as POSCAR:
```
Nd3DyAl
1.0
5.2445 0.0000 0.0000
0.0000 4.7788 3.2960
0.0000 -4.7788 3.2960
Nd Dy Al
3 1 1
Direct
0.0000 0.0000 0.0000 Nd
0.5000 0.5362 0.9061 Nd
0.5000 0.9061 0.5362 Nd
0.0000 0.4708 0.4708 Dy
0.5000 0.2503 0.2503 Al
```

Summary:
electronic total energy: -4.445 eV/atom
distance to the lowest polymorph of the same formula: 1.00 eV per formula unit
volume: 165.2 Å³ per cell
crystal system: orthorhombic

---

Number 1: energy relative to the elements -158 meV/atom. Number 2: energy relative to the elements 84 meV/atom.